[1]
This record from Alexandria via LeMat-Bulk describes an optimized crystal structure of Cr2FeBi. The functional is PBE.

Calculated values
Offset from the most stable computed form: 2.854 eV per formula unit
Mass density: 7.5 g cm⁻³
E_form: 1.395 eV/atom
Space-group type: I-42d

extended XYZ file:
```
16
Lattice="5.510 0.000 0.000 0.000 5.510 0.000 0.000 0.000 10.790" Properties=species:S:1:pos:R:3 pbc="T T T"
Cr 0.904 1.378 1.349
Cr 1.378 3.659 4.046
Cr 1.378 4.606 9.441
Cr 1.851 1.378 6.744
Cr 3.659 4.133 6.744
Cr 4.133 0.904 9.441
Cr 4.133 1.851 4.046
Cr 4.606 4.133 1.349
Fe 0.000 0.000 0.000
Fe 0.000 2.755 2.697
Fe 2.755 0.000 8.092
Fe 2.755 2.755 5.395
Bi 0.000 0.000 5.395
Bi 0.000 2.755 8.092
Bi 2.755 0.000 2.697
Bi 2.755 2.755 0.000
```

[2]
This record from Alexandria via LeMat-Bulk describes an optimized crystal structure of Cr2FeBi. The functional is PBE.

Calculated values
Offset from the most stable computed form: 0.000 eV per formula unit
Mass density: 10.3 g cm⁻³
E_form: 0.681 eV/atom
Space-group type: Fm-3m

extended XYZ file:
```
16
Lattice="6.201 0.000 0.000 0.000 6.201 0.000 0.000 0.000 6.201" Properties=species:S:1:pos:R:3 pbc="T T T"
Cr 1.550 1.550 1.550
Cr 1.550 1.550 4.651
Cr 1.550 4.651 1.550
Cr 1.550 4.651 4.651
Cr 4.651 1.550 1.550
Cr 4.651 1.550 4.651
Cr 4.651 4.651 1.550
Cr 4.651 4.651 4.651
Fe 0.000 0.000 0.000
Fe 0.000 3.101 3.101
Fe 3.101 0.000 3.101
Fe 3.101 3.101 0.000
Bi 0.000 0.000 3.101
Bi 0.000 3.101 0.000
Bi 3.101 0.000 0.000
Bi 3.101 3.101 3.101
```

[3]
This record from Alexandria via LeMat-Bulk describes an optimized crystal structure of Cr3FeBi. The functional is PBE.

Calculated values
Offset from the most stable computed form: 5.354 eV per formula unit
Mass density: 4.9 g cm⁻³
E_form: 1.973 eV/atom
Space-group type: Pm-3m

extended XYZ file:
```
5
Lattice="5.220 0.000 0.000 0.000 5.220 0.000 0.000 0.000 5.220" Properties=species:S:1:pos:R:3 pbc="T T T"
Cr 0.000 0.000 2.610
Cr 0.000 2.610 0.000
Cr 2.610 0.000 0.000
Fe 2.610 2.610 2.610
Bi 0.000 0.000 0.000
```

[4]
This record from Alexandria via LeMat-Bulk describes an optimized crystal structure of CrFe3Bi. The functional is PBE.

Calculated values
Offset from the most stable computed form: 0.000 eV per formula unit
Mass density: 8.5 g cm⁻³
E_form: 1.024 eV/atom
Space-group type: Pm-3m

extended XYZ file:
```
5
Lattice="4.375 0.000 0.000 0.000 4.375 0.000 0.000 0.000 4.375" Properties=species:S:1:pos:R:3 pbc="T T T"
Cr 0.000 0.000 0.000
Fe 0.000 0.000 2.188
Fe 0.000 2.188 0.000
Fe 2.188 0.000 0.000
Bi 2.188 2.188 2.188
```

[5]
This record from Alexandria via LeMat-Bulk describes an optimized crystal structure of CrFeBi3. The functional is PBE.

Calculated values
Mass density: 8.8 g cm⁻³
E_form: 1.019 eV/atom
Space-group type: Pm-3m

extended XYZ file:
```
5
Lattice="5.169 0.000 0.000 0.000 5.169 0.000 0.000 0.000 5.169" Properties=species:S:1:pos:R:3 pbc="T T T"
Cr 0.000 0.000 0.000
Fe 2.585 2.585 2.585
Bi 0.000 0.000 2.585
Bi 0.000 2.585 0.000
Bi 2.585 0.000 0.000
```

[6]
This record from Alexandria via LeMat-Bulk describes an optimized crystal structure of Cr3FeBi. The functional is PBE.

Calculated values
Offset from the most stable computed form: 0.000 eV per formula unit
Mass density: 7.9 g cm⁻³
E_form: 0.903 eV/atom
Space-group type: Pm-3m

extended XYZ file:
```
5
Lattice="4.458 0.000 0.000 0.000 4.458 0.000 0.000 0.000 4.458" Properties=species:S:1:pos:R:3 pbc="T T T"
Cr 0.000 0.000 2.229
Cr 0.000 2.229 0.000
Cr 2.229 0.000 0.000
Fe 0.000 0.000 0.000
Bi 2.229 2.229 2.229
```

[7]
This record from Alexandria via LeMat-Bulk describes an optimized crystal structure of CrFe2HgBi. The functional is PBE.

Calculated values
Mass density: 7.1 g cm⁻³
E_form: 1.406 eV/atom
Space-group type: P4/mmm

extended XYZ file:
```
5
Lattice="5.004 0.000 0.000 0.000 5.004 0.000 0.000 0.000 5.339" Properties=species:S:1:pos:R:3 pbc="T T T"
Cr 0.000 0.000 0.000
Fe 0.000 2.502 2.670
Fe 2.502 0.000 2.670
Hg 2.502 2.502 0.000
Bi 0.000 0.000 2.670
```

[8]
This record from Alexandria via LeMat-Bulk describes an optimized crystal structure of CrFeBi2S. The functional is PBE.

Calculated values
Mass density: 7.6 g cm⁻³
Calculated total energy: -26.63 eV for the cell shown
Space-group type: P4/mmm

extended XYZ file:
```
5
Lattice="5.438 0.000 0.000 0.000 5.438 0.000 0.000 0.000 4.146" Properties=species:S:1:pos:R:3 pbc="T T T"
Cr 0.000 0.000 0.000
Fe 2.719 2.719 2.073
Bi 0.000 2.719 0.000
Bi 2.719 0.000 0.000
S 0.000 0.000 2.073
```